VASP calculation (PBE) on crystalline IrRuPbO6 at its relaxed geometry.

Summary:
formation energy from raw total energies	-76	kJ per mole of atoms
uncorrected energy	-6.518	eV per atom
calculated volume	14.384	A^3/atom
spin magnetization	0.00	μB per formula unit

Cell and atoms, written as POSCAR:
```
IrRuPbO6
1.0
7.105 0.000 0.000
0.000 7.137 0.000
-3.552 -3.569 5.106
Ir Ru Pb O
2 2 2 12
direct
0.500 0.000 0.500 Ir
0.000 0.000 0.500 Ir
0.500 0.500 0.000 Ru
0.500 0.000 0.000 Ru
0.940 0.690 0.881 Pb
0.060 0.310 0.119 Pb
0.445 0.695 0.889 O
0.829 0.079 0.657 O
0.829 0.073 0.246 O
0.417 0.673 0.246 O
0.417 0.073 0.246 O
0.829 0.673 0.246 O
0.555 0.305 0.111 O
0.171 0.921 0.343 O
0.171 0.927 0.754 O
0.583 0.327 0.754 O
0.583 0.927 0.754 O
0.171 0.327 0.754 O
```

***

VASP calculation (PBE) on crystalline MgO at its relaxed geometry.

Summary:
formation energy from raw total energies	-229	kJ per mole of atoms
uncorrected energy	-5.646	eV per atom
calculated volume	10.023	A^3/atom
spin magnetization	0.00	μB per formula unit

Cell and atoms, written as POSCAR:
```
MgO
1.0
2.939 0.000 0.000
-1.469 2.545 0.000
0.000 0.000 2.680
Mg O
1 1
direct
0.333 0.667 0.000 Mg
0.667 0.333 0.500 O
```

***

VASP calculation (PBE) on crystalline Li2SnSb at its relaxed geometry.

Summary:
formation energy from raw total energies	-33	kJ per mole of atoms
uncorrected energy	-3.326	eV per atom
calculated volume	20.897	A^3/atom
spin magnetization	0.00	μB per formula unit

Cell and atoms, written as POSCAR:
```
Li2SnSb
1.0
-1.530 2.767 -1.482
-2.989 -0.782 1.626
1.878 3.891 5.324
Sb Sn Li
1 1 2
direct
0.500 0.500 0.500 Sb
0.500 0.500 0.000 Sn
0.000 0.000 0.746 Li
0.000 0.000 0.254 Li
```

***

VASP calculation (PBE) on crystalline Mg6TiCdO8 at its relaxed geometry.

Summary:
formation energy from raw total energies	-224	kJ per mole of atoms
uncorrected energy	-5.949	eV per atom
calculated volume	10.530	A^3/atom
spin magnetization	1.81	μB per formula unit

Cell and atoms, written as POSCAR:
```
Mg6TiCdO8
1.0
-0.928 2.657 -3.357
-4.123 0.371 1.433
2.312 6.942 4.855
Mg Ti Cd O
6 1 1 8
direct
0.000 0.000 0.500 Mg
0.500 0.500 0.500 Mg
0.000 0.500 0.259 Mg
0.000 0.500 0.741 Mg
0.500 0.000 0.259 Mg
0.500 0.000 0.741 Mg
0.000 0.000 0.000 Ti
0.500 0.500 0.000 Cd
0.000 0.000 0.254 O
0.000 0.000 0.746 O
0.500 0.500 0.268 O
0.500 0.500 0.732 O
0.000 0.500 0.000 O
0.000 0.500 0.500 O
0.500 0.000 0.000 O
0.500 0.000 0.500 O
```

***

The highest spin magnetization belongs to which entry?
Mg6TiCdO8